[1]
## Ce4Tc2Br3 (GGA-PBE)

Data for Ce4Tc2Br3 after structural relaxation.

Cell and atoms, written as CIF:
```
data_Ce4Tc2Br3
_cell_length_a 6.981
_cell_length_b 4.031
_cell_length_c 18.349
_cell_angle_alpha 90.00
_cell_angle_beta 90.03
_cell_angle_gamma 90.00
_symmetry_space_group_name_H-M 'C 1 2/m 1'
_symmetry_Int_Tables_number 12
loop_
_symmetry_equiv_pos_as_xyz
'x,y,z'
'-x,-y,-z'
'-x,y,-z'
'x,-y,z'
'x+1/2,y+1/2,z'
'-x+1/2,-y+1/2,-z'
'-x+1/2,y+1/2,-z'
'x+1/2,-y+1/2,z'
loop_
_atom_site_label
_atom_site_type_symbol
_atom_site_fract_x
_atom_site_fract_y
_atom_site_fract_z
Ce1 Ce 0.001 0.000 0.295
Ce2 Ce 0.167 0.500 0.872
Tc1 Tc 0.167 0.500 0.205
Br1 Br 0.000 0.000 0.000
Br2 Br 0.166 0.500 0.597
```

Calculated values
**Magnetization**: 0.070 μB/atom
**E_form (uncorrected)**: -6.89 eV/f.u.

[2]
## Tb2NdHg3 (GGA-PBE)

Data for Tb2NdHg3 after structural relaxation.

Cell and atoms, written as CIF:
```
data_Tb2NdHg3
_cell_length_a 5.301
_cell_length_b 15.945
_cell_length_c 7.616
_cell_angle_alpha 90.00
_cell_angle_beta 90.00
_cell_angle_gamma 90.00
_symmetry_space_group_name_H-M 'C m m m'
_symmetry_Int_Tables_number 65
_symmetry_space_group_name_Hall '-C 2 2'
loop_
_atom_site_label
_atom_site_type_symbol
_atom_site_fract_x
_atom_site_fract_y
_atom_site_fract_z
Tb1 Tb 0.000 0.000 0.000
Tb2 Tb 0.000 0.000 0.500
Tb3 Tb 0.000 0.332 0.000
Nd1 Nd 0.000 0.334 0.500
Hg1 Hg 0.000 0.163 0.239
Hg2 Hg 0.000 0.500 0.240
```

Calculated values
**Magnetization**: 0.145 μB/atom

[3]
## Li2CoOs (GGA-PBE)

Data for Li2CoOs after structural relaxation.

Cell and atoms, written as CIF:
```
data_Li2CoOs
_cell_length_a 6.524
_cell_length_b 6.524
_cell_length_c 4.700
_cell_angle_alpha 90.00
_cell_angle_beta 90.00
_cell_angle_gamma 90.00
_symmetry_space_group_name_H-M 'I -4 2 d'
_symmetry_Int_Tables_number 122
_symmetry_space_group_name_Hall 'I -4 2bw'
loop_
_atom_site_label
_atom_site_type_symbol
_atom_site_fract_x
_atom_site_fract_y
_atom_site_fract_z
Li1 Li 0.231 0.250 0.125
Co1 Co 0.000 0.000 0.000
Os1 Os 0.000 0.000 0.500
```

Calculated values
**ΔE to the lowest computed polymorph**: 669 meV/atom
**Magnetization**: 0.287 μB/atom

[4]
## K2ZnTe2 (GGA-PBE)

Data for K2ZnTe2 after structural relaxation.

Cell and atoms, written as CIF:
```
data_K2ZnTe2
_cell_length_a 4.578
_cell_length_b 4.578
_cell_length_c 19.490
_cell_angle_alpha 90.00
_cell_angle_beta 90.00
_cell_angle_gamma 90.00
_symmetry_space_group_name_H-M 'I 4/m m m'
_symmetry_Int_Tables_number 139
_symmetry_space_group_name_Hall '-I 4 2'
loop_
_atom_site_label
_atom_site_type_symbol
_atom_site_fract_x
_atom_site_fract_y
_atom_site_fract_z
K1 K 0.000 0.000 0.112
Zn1 Zn 0.000 0.000 0.500
Te1 Te 0.000 0.500 0.250
```

Calculated values
**ΔE to the lowest computed polymorph**: 636 meV/atom
**Magnetization**: 0.000 μB/atom
**E_form (uncorrected)**: -1.21 eV/f.u.

[5]
## Ce6Er2Th (GGA-PBE)

Data for Ce6Er2Th after structural relaxation.

Cell and atoms, written as CIF:
```
data_Ce6Er2Th
_cell_length_a 9.782
_cell_length_b 15.643
_cell_length_c 3.377
_cell_angle_alpha 90.00
_cell_angle_beta 90.00
_cell_angle_gamma 90.00
_symmetry_space_group_name_H-M 'C m m m'
_symmetry_Int_Tables_number 65
_symmetry_space_group_name_Hall '-C 2 2'
loop_
_atom_site_label
_atom_site_type_symbol
_atom_site_fract_x
_atom_site_fract_y
_atom_site_fract_z
Ce1 Ce 0.180 0.168 0.000
Ce2 Ce 0.191 0.500 0.000
Er1 Er 0.000 0.336 0.500
Th1 Th 0.000 0.000 0.500
```

Calculated values
**Magnetization**: 0.004 μB/atom

[6]
## PuHfTh2 (GGA-PBE)

Data for PuHfTh2 after structural relaxation.

Cell and atoms, written as CIF:
```
data_PuHfTh2
_cell_length_a 3.951
_cell_length_b 3.951
_cell_length_c 7.057
_cell_angle_alpha 90.00
_cell_angle_beta 90.00
_cell_angle_gamma 90.00
_symmetry_space_group_name_H-M 'P 4/m m m'
_symmetry_Int_Tables_number 123
_symmetry_space_group_name_Hall '-P 4 2'
loop_
_atom_site_label
_atom_site_type_symbol
_atom_site_fract_x
_atom_site_fract_y
_atom_site_fract_z
Pu1 Pu 0.000 0.000 0.000
Hf1 Hf 0.000 0.000 0.500
Th1 Th 0.500 0.500 0.252
```

Calculated values
**ΔE to the lowest computed polymorph**: 12 meV/atom
**Magnetization**: 1.455 μB/atom

no.,E (eV/cell)
1,-112.74
2,-71.13
3,-75.92
4,-21.92
5,-102.72
6,-38.57